# ZrAu2Se PBE-GGA relaxed
# Formation energy from raw total energies = -0.5172 eV per atom
# Total magnetization = 0.00 μB per formula unit
data_ZrAu2Se
_cell_length_a 3.472
_cell_length_b 3.525
_cell_length_c 6.927
_cell_angle_alpha 90.00
_cell_angle_beta 104.41
_cell_angle_gamma 90.00
_space_group_name_H-M_alt 'P 1 m 1'
_space_group_IT_number 6
_space_group_name_Hall 'P -2y'
loop_
_atom_site_label
_atom_site_fract_x
_atom_site_fract_y
_atom_site_fract_z
_atom_site_occupancy
Zr1 0.000 0.000 0.000 1
Au1 0.226 0.000 0.458 1
Au2 0.626 0.500 0.258 1
Se1 0.402 0.500 0.804 1

=====

# Pm3Cd8In3 PBE-GGA relaxed
# Uncorrected energy = -2.400 eV/atom
# Total magnetization = 0.00 μB per formula unit
data_Pm3Cd8In3
_cell_length_a 4.739
_cell_length_b 10.843
_cell_length_c 13.686
_cell_angle_alpha 90.00
_cell_angle_beta 90.00
_cell_angle_gamma 90.00
_space_group_name_H-M_alt 'I m m m'
_space_group_IT_number 71
_space_group_name_Hall '-I 2 2'
loop_
_atom_site_label
_atom_site_fract_x
_atom_site_fract_y
_atom_site_fract_z
_atom_site_occupancy
Pm1 0.000 0.000 0.000 1
Pm2 0.000 0.000 0.306 1
Cd1 0.000 0.275 0.146 1
Cd2 0.000 0.373 0.343 1
In1 0.000 0.196 0.500 1
In2 0.000 0.500 0.000 1

=====

# Dy2PuZr PBE-GGA relaxed
# Distance to the lowest polymorph of the same formula = 0.04 eV per formula unit
# Total magnetization = 6.16 μB per formula unit
data_Dy2PuZr
_cell_length_a 3.4225
_cell_length_b 3.4225
_cell_length_c 33.2381
_cell_angle_alpha 90.00
_cell_angle_beta 90.00
_cell_angle_gamma 120.00
_space_group_name_H-M_alt 'R 3 m'
_space_group_IT_number 160
_space_group_name_Hall 'R 3 -2"'
loop_
_atom_site_label
_atom_site_fract_x
_atom_site_fract_y
_atom_site_fract_z
_atom_site_occupancy
Dy1 0.0000 0.0000 0.0000 1
Dy2 0.0000 0.0000 0.1597 1
Pu1 0.0000 0.0000 0.5800 1
Zr1 0.0000 0.0000 0.4136 1

=====

# TlV3Ni PBE-GGA relaxed
# Distance to the lowest polymorph of the same formula = 0.00 eV per formula unit
# Total magnetization = 0.01 μB per formula unit
data_TlV3Ni
_cell_length_a 4.410
_cell_length_b 4.410
_cell_length_c 4.410
_cell_angle_alpha 90.00
_cell_angle_beta 90.00
_cell_angle_gamma 90.00
_space_group_name_H-M_alt 'P m -3 m'
_space_group_IT_number 221
_space_group_name_Hall '-P 4 2 3'
loop_
_atom_site_label
_atom_site_fract_x
_atom_site_fract_y
_atom_site_fract_z
_atom_site_occupancy
Tl1 0.000 0.000 0.000 1
V1 0.000 0.500 0.500 1
Ni1 0.500 0.500 0.500 1

=====

# Er2GaCu2Ni5 PBE-GGA relaxed
# Uncorrected energy = -5.259 eV/atom
# Total magnetization = 0.00 μB per formula unit
data_Er2GaCu2Ni5
_cell_length_a 8.918
_cell_length_b 8.918
_cell_length_c 3.628
_cell_angle_alpha 90.00
_cell_angle_beta 90.00
_cell_angle_gamma 90.00
_space_group_name_H-M_alt 'P 4/m b m'
_space_group_IT_number 127
_space_group_name_Hall '-P 4 2ab'
loop_
_atom_site_label
_atom_site_fract_x
_atom_site_fract_y
_atom_site_fract_z
_atom_site_occupancy
Er1 0.177 0.323 0.000 1
Ga1 0.000 0.000 0.000 1
Cu1 0.120 0.620 0.000 1
Ni1 0.000 0.500 0.500 1
Ni2 0.061 0.797 0.500 1

=====

# La2Be3Si4Ag PBE-GGA relaxed
# Formation energy from raw total energies = -0.3708 eV per atom
# Total magnetization = 0.00 μB per formula unit
data_La2Be3Si4Ag
_cell_length_a 4.143
_cell_length_b 4.143
_cell_length_c 9.927
_cell_angle_alpha 90.00
_cell_angle_beta 90.00
_cell_angle_gamma 90.00
_space_group_name_H-M_alt 'P -4 m 2'
_space_group_IT_number 115
_space_group_name_Hall 'P -4 -2'
loop_
_atom_site_label
_atom_site_fract_x
_atom_site_fract_y
_atom_site_fract_z
_atom_site_occupancy
La1 0.000 0.500 0.240 1
Be1 0.000 0.500 0.879 1
Be2 0.500 0.500 0.500 1
Si1 0.000 0.000 0.000 1
Si2 0.000 0.500 0.645 1
Si3 0.500 0.500 0.000 1
Ag1 0.000 0.000 0.500 1

=====

# TmTh3Pb12 PBE-GGA relaxed
# Uncorrected energy = -4.683 eV/atom
# Total magnetization = 0.00 μB per formula unit
data_TmTh3Pb12
_cell_length_a 4.950
_cell_length_b 4.950
_cell_length_c 19.152
_cell_angle_alpha 90.00
_cell_angle_beta 90.00
_cell_angle_gamma 90.00
_space_group_name_H-M_alt 'P 4/m m m'
_space_group_IT_number 123
_space_group_name_Hall '-P 4 2'
loop_
_atom_site_label
_atom_site_fract_x
_atom_site_fract_y
_atom_site_fract_z
_atom_site_occupancy
Tm1 0.000 0.000 0.000 1
Th1 0.000 0.000 0.250 1
Th2 0.000 0.000 0.500 1
Pb1 0.000 0.500 0.121 1
Pb2 0.000 0.500 0.374 1
Pb3 0.500 0.500 0.000 1
Pb4 0.500 0.500 0.247 1
Pb5 0.500 0.500 0.500 1

=====

# Ca2YSc PBE-GGA relaxed
# Distance to the lowest polymorph of the same formula = 0.39 eV per formula unit
# Total magnetization = 0.00 μB per formula unit
data_Ca2YSc
_cell_length_a 3.830
_cell_length_b 6.004
_cell_length_c 11.761
_cell_angle_alpha 90.00
_cell_angle_beta 90.00
_cell_angle_gamma 90.00
_space_group_name_H-M_alt 'I m m 2'
_space_group_IT_number 44
_space_group_name_Hall 'I 2 -2'
loop_
_atom_site_label
_atom_site_fract_x
_atom_site_fract_y
_atom_site_fract_z
_atom_site_occupancy
Ca1 0.000 0.000 0.000 1
Ca2 0.000 0.500 0.234 1
Y1 0.000 0.500 0.770 1
Sc1 0.000 0.000 0.493 1

=====

# Cs2GaAsH PBE-GGA relaxed
# Uncorrected energy = -2.822 eV/atom
# Total magnetization = 0.00 μB per formula unit
data_Cs2GaAsH
_cell_length_a 7.268
_cell_length_b 4.250
_cell_length_c 11.150
_cell_angle_alpha 90.00
_cell_angle_beta 102.52
_cell_angle_gamma 90.00
_space_group_name_H-M_alt 'P 1 21/m 1'
_space_group_IT_number 11
_space_group_name_Hall '-P 2yb'
loop_
_atom_site_label
_atom_site_fract_x
_atom_site_fract_y
_atom_site_fract_z
_atom_site_occupancy
Cs1 0.202 0.250 0.415 1
Cs2 0.275 0.750 0.068 1
Ga1 0.315 0.750 0.713 1
As1 0.178 0.250 0.780 1
H1 0.449 0.250 0.234 1

=====

# Pr12TlPt6 PBE-GGA relaxed
# Uncorrected energy = -5.781 eV/atom
# Total magnetization = 0.00 μB per formula unit
data_Pr12TlPt6
_cell_length_a 10.441
_cell_length_b 10.441
_cell_length_c 10.441
_cell_angle_alpha 90.00
_cell_angle_beta 90.00
_cell_angle_gamma 90.00
_space_group_name_H-M_alt 'I m -3'
_space_group_IT_number 204
_space_group_name_Hall '-I 2 2 3'
loop_
_atom_site_label
_atom_site_fract_x
_atom_site_fract_y
_atom_site_fract_z
_atom_site_occupancy
Pr1 0.000 0.181 0.304 1
Tl1 0.000 0.000 0.000 1
Pt1 0.000 0.366 0.500 1

=====

# CrRe2Si PBE-GGA relaxed
# Formation energy from raw total energies = -0.0898 eV per atom
# Total magnetization = 0.54 μB per formula unit
data_CrRe2Si
_cell_length_a 2.973
_cell_length_b 2.973
_cell_length_c 6.035
_cell_angle_alpha 90.00
_cell_angle_beta 90.00
_cell_angle_gamma 90.00
_space_group_name_H-M_alt 'P 4/m m m'
_space_group_IT_number 123
_space_group_name_Hall '-P 4 2'
loop_
_atom_site_label
_atom_site_fract_x
_atom_site_fract_y
_atom_site_fract_z
_atom_site_occupancy
Cr1 0.000 0.000 0.000 1
Re1 0.500 0.500 0.254 1
Si1 0.000 0.000 0.500 1

=====

# La2GaHRh PBE-GGA relaxed
# Uncorrected energy = -5.292 eV/atom
# Total magnetization = 0.00 μB per formula unit
data_La2GaHRh
_cell_length_a 5.240
_cell_length_b 5.240
_cell_length_c 3.758
_cell_angle_alpha 90.00
_cell_angle_beta 90.00
_cell_angle_gamma 90.00
_space_group_name_H-M_alt 'P 4/m m m'
_space_group_IT_number 123
_space_group_name_Hall '-P 4 2'
loop_
_atom_site_label
_atom_site_fract_x
_atom_site_fract_y
_atom_site_fract_z
_atom_site_occupancy
La1 0.000 0.500 0.000 1
Ga1 0.000 0.000 0.500 1
H1 0.500 0.500 0.000 1
Rh1 0.500 0.500 0.500 1

=====

Number 1: mass density 11.4 g cm⁻³. Number 2: mass density 7.9 g cm⁻³. Number 3: mass density 9.8 g cm⁻³. Number 4: mass density 8.1 g cm⁻³. Number 5: mass density 9.5 g cm⁻³. Number 6: mass density 5.1 g cm⁻³. Number 7: mass density 11.9 g cm⁻³. Number 8: mass density 2.6 g cm⁻³. Number 9: mass density 4.1 g cm⁻³. Number 10: mass density 8.9 g cm⁻³. Number 11: mass density 14.1 g cm⁻³. Number 12: mass density 7.3 g cm⁻³.